Material: LaHg2Se
Method: DFT, PBE-GGA
State: optimized geometry

**Formation energy without anion corrections**: -2.2 eV per formula unit
**SG**: P4/mmm
**Spin magnetization**: 0.0 μB per cell
**Final energy**: -11.25 eV per cell
**Mass density**: 9.12 g cm⁻³

```
LaHg2Se
1.0
4.3313 0.0000 0.0000
0.0000 4.3313 0.0000
0.0000 0.0000 6.0104
La Hg Se
1 2 1
direct
0.0000 0.0000 0.0000 La
0.5000 0.5000 0.2597 Hg
0.5000 0.5000 0.7403 Hg
0.0000 0.0000 0.5000 Se
```